Tb4Sm4Cd | PBE-GGA | optimized geometry

Cell lengths 5.0125, 7.9272, 7.9272 Å; angles 84.26, 71.57, 71.57 degrees
Last column: nearest neighbours and their distance in Å.
Positions (direct):
Sm 0.0000 0.3322 0.6677  1 Cd 3.53, 6 Tb 3.54-3.58, 5 Sm 3.56-3.57
Sm 0.0000 0.6678 0.3323  1 Cd 3.53, 6 Tb 3.54-3.58, 5 Sm 3.56-3.57
Sm 0.3323 0.6677 0.6678  1 Cd 3.53, 6 Tb 3.54-3.58, 5 Sm 3.56-3.57
Sm 0.6677 0.3323 0.3322  1 Cd 3.53, 6 Tb 3.54-3.58, 5 Sm 3.56-3.57
Tb 0.6635 0.0000 0.6730  4 Tb 3.48-3.61, 2 Cd 3.51, 6 Sm 3.54-3.58
Tb 0.6635 0.6730 0.0000  4 Tb 3.48-3.61, 2 Cd 3.51, 6 Sm 3.54-3.58
Tb 0.3365 0.0000 0.3270  4 Tb 3.48-3.61, 2 Cd 3.51, 6 Sm 3.54-3.58
Tb 0.3365 0.3270 0.0000  4 Tb 3.48-3.61, 2 Cd 3.51, 6 Sm 3.54-3.58
Cd 0.0000 0.0000 0.0000  8 Tb 3.51, 4 Sm 3.53

Results
- magnetization (μB per formula unit) = 0.00
- DOS(E_F) (states/eV/f.u.) = 14.5
- E_form (eV per atom) = -0.013